Nd6ZnOs2I3 PBE relaxed; crystal system = monoclinic; ΔE_f (raw) = -7.12 eV per formula unit
1.0
3.671 -6.356 0.000
3.671 6.356 0.000
-2.442 0.000 8.170
Nd Zn Os I
6 1 2 3
Direct
0.079 0.436 0.810
0.206 0.206 0.189
0.436 0.079 0.810
0.564 0.921 0.190
0.794 0.794 0.811
0.921 0.564 0.190
0.500 0.500 0.000
0.167 0.833 0.000
0.833 0.167 0.000
0.000 0.000 0.500
0.335 0.665 0.500
0.665 0.335 0.500